Record 1
Below is a relaxed BaPt2Pb crystal, with properties calculated at the PBE level.

```
BaPt2Pb
1.0
2.380 1.374 5.572
-2.380 1.374 5.572
0.000 -2.748 5.572
Ba Pt Pb
1 2 1
direct
0.000 0.000 0.000
0.199 0.199 0.199
0.801 0.801 0.801
0.500 0.500 0.500
```

Values from the calculation:
The formation energy is -0.487 eV per atom. As for the density of states at the Fermi level: 1.70 states/eV/cell. The volume is 27.339 A^3/atom. As for the space-group type: R-3m, No. 166. The uncorrected energy comes out at -4.915 eV/atom.

Record 2
Below is a relaxed YbO3 crystal, with properties calculated at the PBE level.

```
YbO3
1.0
3.985 0.000 0.000
0.000 3.712 0.000
-1.807 0.000 6.971
Yb O
2 6
direct
0.176 0.250 0.335
0.824 0.750 0.665
0.251 0.250 0.859
0.258 0.750 0.518
0.422 0.750 0.148
0.578 0.250 0.852
0.742 0.250 0.482
0.749 0.750 0.141
```

Values from the calculation:
As for the density of states at the Fermi level: 11.88 states/eV/cell. The volume is 12.889 A^3/atom. As for the space-group type: P2_1/m, No. 11. The energy above the lowest structure with this stoichiometry comes out at 0.000 eV per atom. The calculation puts the uncorrected formation energy at -157 kJ per mole of atoms. The uncorrected energy comes out at -5.726 eV/atom.

Record 3
Below is a relaxed LiTb6Dy crystal, with properties calculated at the PBE level.

```
LiTb6Dy
1.0
4.679 2.701 3.211
-4.679 2.701 3.211
0.000 -5.402 3.211
Li Tb Dy
1 6 1
direct
0.000 0.000 0.000
0.050 0.570 0.763
0.237 0.950 0.430
0.430 0.237 0.950
0.570 0.763 0.050
0.763 0.050 0.570
0.950 0.430 0.237
0.500 0.500 0.500
```

Values from the calculation:
The formation energy is 0.148 eV per atom. As for the density of states at the Fermi level: 10.70 states/eV/cell. The volume is 30.444 A^3/atom. As for the space-group type: R-3, No. 148. The uncorrected energy comes out at -4.140 eV/atom.